An optimized crystal structure of HgGeSeO. Source: OQMD, functional PBE.

Lattice parameters (Å, degrees): 6.0654 9.5508 5.9752 90.00 90.00 90.00
Last column: nearest neighbours and their distance in Å.
Atoms (fractional coordinates):
1 Ge 0.5422 0.3189 0.5464  1 O 1.84
2 O 0.5005 0.1284 0.5733  1 Ge 1.84
3 Hg 0.0541 0.0913 0.5410  1 O 2.13
4 Se 0.5244 0.3469 0.0892  1 Hg 2.50, 2 Ge 2.65-2.75
5 Ge 0.0422 0.6811 0.5464  1 O 1.84
6 Se 0.4756 0.6531 0.5892  1 Hg 2.50, 2 Ge 2.65-2.75
7 Hg 0.9459 0.9087 0.0410  1 O 2.13
8 O 0.9995 0.1284 0.0733  1 Ge 1.84
9 Ge 0.4578 0.6811 0.0464  1 O 1.84
10 Hg 0.4459 0.0913 0.0410  1 O 2.13
11 Hg 0.5541 0.9087 0.5410  1 O 2.13
12 O 0.0005 0.8716 0.5733  1 Ge 1.84
13 Se 0.9756 0.3469 0.5892  1 Hg 2.50, 2 Ge 2.65-2.75
14 Ge 0.9578 0.3189 0.0464  1 O 1.84
15 Se 0.0244 0.6531 0.0892  1 Hg 2.50, 2 Ge 2.65-2.75
16 O 0.4995 0.8716 0.0733  1 Ge 1.84

Mass density   7.07 Mg/m³
Energy relative to the lowest polymorph listed for this composition   0.2243 eV per atom
Space-group type   No. 29


An optimized crystal structure of HgGeTeO. Source: OQMD, functional PBE.

Lattice parameters (Å, degrees): 5.5140 5.5140 7.3945 90.00 90.00 90.00
Last column: nearest neighbours and their distance in Å.
Atoms (fractional coordinates):
1 Ge 0.7500 0.7500 0.1788  1 O 1.68
2 Hg 0.2500 0.2500 0.3599  1 O 2.30
3 Te 0.2500 0.7500 0.5000  4 Hg 2.95
4 Hg 0.7500 0.7500 0.6401  1 O 2.30
5 O 0.2500 0.2500 0.0487  1 Ge 1.68
6 Ge 0.2500 0.2500 0.8212  1 O 1.68
7 O 0.7500 0.7500 0.9513  1 Ge 1.68
8 Te 0.7500 0.2500 0.5000  4 Hg 2.95

Mass density   6.16 Mg/m³
Energy relative to the lowest polymorph listed for this composition   0.2929 eV per atom
Space-group type   No. 129


An optimized crystal structure of HgGeTeO. Source: OQMD, functional PBE.

Lattice parameters (Å, degrees): 4.3108 4.3108 8.8211 90.00 90.00 90.00
Last column: nearest neighbours and their distance in Å.
Atoms (fractional coordinates):
1 Ge 0.7500 0.7500 0.5085  4 O 2.16
2 Ge 0.2500 0.2500 0.4915  4 O 2.16
3 O 0.7500 0.2500 0.5000  4 Ge 2.16
4 O 0.2500 0.7500 0.5000  4 Ge 2.16
5 Hg 0.2500 0.2500 0.8137  1 Ge 2.84, 5 Te 3.05-3.16
6 Te 0.7500 0.7500 0.8282  1 Ge 2.82, 4 Hg 3.05
7 Hg 0.7500 0.7500 0.1863  1 Ge 2.84, 5 Te 3.05-3.16
8 Te 0.2500 0.2500 0.1718  1 Ge 2.82, 4 Hg 3.05

Mass density   8.44 Mg/m³
Energy relative to the lowest polymorph listed for this composition   0.1235 eV per atom
Space-group type   No. 129


An optimized crystal structure of HgGeTeO. Source: OQMD, functional PBE.

Lattice parameters (Å, degrees): 4.3776 4.3776 9.7644 90.00 90.00 90.00
Last column: nearest neighbours and their distance in Å.
Atoms (fractional coordinates):
1 Ge 0.7500 0.7500 0.1556  1 Te 2.77
2 Hg 0.7500 0.7500 0.5676  4 O 2.29
3 Te 0.2500 0.2500 0.1278  1 Ge 2.77, 1 Hg 2.97
4 O 0.2500 0.7500 0.5000  4 Hg 2.29
5 O 0.7500 0.2500 0.5000  4 Hg 2.29
6 Hg 0.2500 0.2500 0.4324  4 O 2.29
7 Ge 0.2500 0.2500 0.8444  1 Te 2.77
8 Te 0.7500 0.7500 0.8722  1 Ge 2.77, 1 Hg 2.97

Mass density   7.40 Mg/m³
Energy relative to the lowest polymorph listed for this composition   0.4820 eV per atom
Space-group type   No. 129